(1)
First-principles (PBE-GGA) data for a relaxed structure of KCuSnSe3, as listed in the Open Quantum Materials Database.

Structure (POSCAR):
```
KCuSnSe3
1.0
9.848 0.000 0.000
0.000 4.056 0.000
0.000 0.000 15.545
K Cu Sn Se
4 4 4 12
direct
0.048 0.250 0.184
0.452 0.750 0.684
0.548 0.250 0.316
0.952 0.750 0.816
0.185 0.250 0.635
0.315 0.750 0.135
0.685 0.250 0.865
0.815 0.750 0.365
0.165 0.750 0.438
0.335 0.250 0.938
0.665 0.750 0.062
0.835 0.250 0.562
0.040 0.750 0.603
0.178 0.750 0.008
0.208 0.250 0.785
0.292 0.750 0.285
0.322 0.250 0.508
0.460 0.250 0.103
0.540 0.750 0.897
0.678 0.750 0.492
0.708 0.250 0.715
0.792 0.750 0.215
0.822 0.250 0.992
0.960 0.250 0.397
```

The theoretical density is 4902 kg/m3. Its total energy is -3.72 eV/atom.

(2)
First-principles (PBE-GGA) data for a relaxed structure of SmYGa2Br2, as listed in the Open Quantum Materials Database.

Structure (POSCAR):
```
SmYGa2Br2
1.0
4.170 0.000 0.000
-2.085 3.611 0.000
0.000 0.000 11.345
Sm Y Ga Br
1 1 2 2
direct
0.000 0.000 0.000
0.000 0.000 0.635
0.333 0.667 0.845
0.667 0.333 0.787
0.333 0.667 0.481
0.667 0.333 0.160
```

The calculation puts the size of the total moment at 0.0 μB per cell. The theoretical density is 5234 kg/m3. Its total energy is -4.67 eV/atom.

(3)
First-principles (PBE-GGA) data for a relaxed structure of FeSbPdPt, as listed in the Open Quantum Materials Database.

Structure (POSCAR):
```
FeSbPdPt
1.0
0.000 3.195 3.195
3.195 0.000 3.195
3.195 3.195 0.000
Fe Sb Pd Pt
1 1 1 1
direct
0.000 0.000 0.000
0.750 0.750 0.750
0.500 0.500 0.500
0.250 0.250 0.250
```

The calculation puts the size of the total moment at 3.0 μB per cell. The theoretical density is 12192 kg/m3. Its total energy is -6.01 eV/atom.

- Which of these has the highest theoretical density?
  FeSbPdPt

Repeat the third record exactly.
First-principles (PBE-GGA) data for a relaxed structure of FeSbPdPt, as listed in the Open Quantum Materials Database.

Structure (POSCAR):
```
FeSbPdPt
1.0
0.000 3.195 3.195
3.195 0.000 3.195
3.195 3.195 0.000
Fe Sb Pd Pt
1 1 1 1
direct
0.000 0.000 0.000
0.750 0.750 0.750
0.500 0.500 0.500
0.250 0.250 0.250
```

The calculation puts the size of the total moment at 3.0 μB per cell. The theoretical density is 12192 kg/m3. Its total energy is -6.01 eV/atom.

Copy entry 3 word for word.
First-principles (PBE-GGA) data for a relaxed structure of FeSbPdPt, as listed in the Open Quantum Materials Database.

Structure (POSCAR):
```
FeSbPdPt
1.0
0.000 3.195 3.195
3.195 0.000 3.195
3.195 3.195 0.000
Fe Sb Pd Pt
1 1 1 1
direct
0.000 0.000 0.000
0.750 0.750 0.750
0.500 0.500 0.500
0.250 0.250 0.250
```

The calculation puts the size of the total moment at 3.0 μB per cell. The theoretical density is 12192 kg/m3. Its total energy is -6.01 eV/atom.